## HoPuGe2 (GGA-PBE)

Data for a geometry-optimized HoPuGe2 structure.

Theoretical density   10.4 Mg/m³
Crystal system   tetragonal
Fermi-level density of states   1.9699 states/eV per atom
Formation enthalpy at 0 K   -0.534 eV/atom
Final energy   -30.3 eV for the cell shown

Cell: 3.298 3.298 8.133 Å, 90.00 90.00 90.00°
Fractional coordinates of all 4 atoms:
Ho: 0.000 0.000 0.000
Pu: 0.000 0.000 0.500
Ge: 0.500 0.500 0.247
Ge: 0.500 0.500 0.753